(A)
# ScB2Os

An optimized crystal structure of ScB2Os (GGA-PBE, Alexandria via LeMat-Bulk).

Unit cell a=5.614 b=5.614 c=5.614 alpha=90.00 beta=90.00 gamma=90.00
Fractional coordinates of all 16 atoms:
Sc  0.000  0.000  0.000
Sc  0.000  0.500  0.500
Sc  0.500  0.000  0.500
Sc  0.500  0.500  0.000
B  0.250  0.250  0.250
B  0.250  0.250  0.750
B  0.250  0.750  0.250
B  0.250  0.750  0.750
B  0.750  0.250  0.250
B  0.750  0.250  0.750
B  0.750  0.750  0.250
B  0.750  0.750  0.750
Os  0.000  0.000  0.500
Os  0.000  0.500  0.000
Os  0.500  0.000  0.000
Os  0.500  0.500  0.500

Summary:
DOS(E_F) ... 5.10 states/eV/cell
Magnetic moment ... 0.0 Bohr magnetons per cell
Calculated volume ... 176.89 Å³ per cell
Space-group type ... Fm-3m

***

(B)
# ScB2Os

An optimized crystal structure of ScB2Os (GGA-PBE, Alexandria via LeMat-Bulk).

Unit cell a=3.071 b=5.023 c=6.434 alpha=90.00 beta=90.00 gamma=90.00
Fractional coordinates of all 8 atoms:
Sc  0.000  0.000  0.000
Sc  0.000  0.500  0.500
B  0.500  0.171  0.702
B  0.500  0.329  0.202
B  0.500  0.671  0.202
B  0.500  0.829  0.702
Os  0.500  0.000  0.396
Os  0.500  0.500  0.896

Summary:
DOS(E_F) ... 5.19 states/eV/cell
Magnetic moment ... 0.0 Bohr magnetons per cell
Calculated volume ... 99.25 Å³ per cell
Space-group type ... Amm2

***

Which one is the most stable? From the structures above, (B).